# 1
A plane-wave DFT calculation with PBE-GGA was carried out for an optimized crystal structure of Ta3Au2.

Structure (CIF):
```
data_Ta3Au2
_cell_length_a 8.670
_cell_length_b 7.480
_cell_length_c 5.662
_cell_angle_alpha 81.28
_cell_angle_beta 58.51
_cell_angle_gamma 40.21
_symmetry_space_group_name_H-M 'P 1'
_symmetry_Int_Tables_number 1
loop_
_symmetry_equiv_pos_as_xyz
'x,y,z'
loop_
_atom_site_label
_atom_site_fract_x
_atom_site_fract_y
_atom_site_fract_z
_atom_site_occupancy
Ta1 0.460 0.745 0.447 1
Ta2 0.505 0.790 0.902 1
Ta3 0.803 0.902 0.790 1
Ta4 0.348 0.447 0.745 1
Ta5 0.186 0.314 0.314 1
Ta6 0.936 0.064 0.064 1
Au1 0.705 0.890 0.354 1
Au2 0.051 0.354 0.890 1
Au3 0.360 0.545 0.199 1
Au4 0.896 0.199 0.545 1
```

Results
The calculation puts the total energy at -8.346 eV/atom. Its space group is Fdd2.

# 2
A plane-wave DFT calculation with PBE-GGA was carried out for an optimized crystal structure of Tb4PuSe6.

Structure (CIF):
```
data_Tb4PuSe6
_cell_length_a 4.063
_cell_length_b 7.042
_cell_length_c 20.795
_cell_angle_alpha 90.00
_cell_angle_beta 90.00
_cell_angle_gamma 106.77
_symmetry_space_group_name_H-M 'P 1'
_symmetry_Int_Tables_number 1
loop_
_symmetry_equiv_pos_as_xyz
'x,y,z'
loop_
_atom_site_label
_atom_site_fract_x
_atom_site_fract_y
_atom_site_fract_z
_atom_site_occupancy
Tb1 0.410 0.820 0.372 1
Tb2 0.140 0.279 0.460 1
Tb3 0.860 0.721 0.540 1
Tb4 0.140 0.279 0.040 1
Tb5 0.590 0.180 0.872 1
Tb6 0.860 0.721 0.960 1
Tb7 0.410 0.820 0.128 1
Tb8 0.590 0.180 0.628 1
Se1 0.500 0.000 0.500 1
Se2 0.685 0.370 0.750 1
Se3 0.769 0.539 0.090 1
Se4 0.952 0.903 0.834 1
Se5 0.048 0.097 0.334 1
Se6 0.048 0.097 0.166 1
Se7 0.952 0.903 0.666 1
Se8 0.769 0.539 0.410 1
Se9 0.231 0.461 0.590 1
Se10 0.231 0.461 0.910 1
Se11 0.315 0.630 0.250 1
Se12 0.500 0.000 0.000 1
Pu1 0.343 0.686 0.750 1
Pu2 0.657 0.314 0.250 1
```

Results
The value obtained for the formation energy from raw total energies is -1.763 eV per atom. Its space group is Cmcm.

# 3
A plane-wave DFT calculation with PBE-GGA was carried out for an optimized crystal structure of Ac2TbTmSe4.

Structure (CIF):
```
data_Ac2TbTmSe4
_cell_length_a 4.121
_cell_length_b 7.174
_cell_length_c 7.777
_cell_angle_alpha 107.77
_cell_angle_beta 90.00
_cell_angle_gamma 90.00
_symmetry_space_group_name_H-M 'P 1'
_symmetry_Int_Tables_number 1
loop_
_symmetry_equiv_pos_as_xyz
'x,y,z'
loop_
_atom_site_label
_atom_site_fract_x
_atom_site_fract_y
_atom_site_fract_z
_atom_site_occupancy
Ac1 0.000 0.500 0.500 1
Ac2 0.500 0.000 0.500 1
Se1 0.000 0.743 0.218 1
Se2 0.000 0.257 0.782 1
Se3 0.500 0.234 0.216 1
Se4 0.500 0.766 0.784 1
Tm1 0.000 0.000 0.000 1
Tb1 0.500 0.500 0.000 1
```

Results
The value obtained for the formation energy from raw total energies is -1.788 eV per atom. Its space group is P2/m.

# 4
A plane-wave DFT calculation with PBE-GGA was carried out for an optimized crystal structure of ZrSbTe2C.

Structure (CIF):
```
data_ZrSbTe2C
_cell_length_a 5.542
_cell_length_b 5.542
_cell_length_c 5.619
_cell_angle_alpha 90.00
_cell_angle_beta 90.00
_cell_angle_gamma 90.00
_symmetry_space_group_name_H-M 'P 1'
_symmetry_Int_Tables_number 1
loop_
_symmetry_equiv_pos_as_xyz
'x,y,z'
loop_
_atom_site_label
_atom_site_fract_x
_atom_site_fract_y
_atom_site_fract_z
_atom_site_occupancy
Zr1 0.000 0.000 0.000 1
Sb1 0.000 0.000 0.500 1
Te1 0.000 0.500 0.000 1
Te2 0.500 0.000 0.000 1
C1 0.500 0.500 0.500 1
```

Results
The value obtained for the formation energy from raw total energies is 1.383 eV per atom. For the distance to the lowest polymorph of the same formula, the calculation gives 671.8 meV per atom. Its space group is P4/mmm.

# 5
A plane-wave DFT calculation with PBE-GGA was carried out for an optimized crystal structure of RbTl7Au2.

Structure (CIF):
```
data_RbTl7Au2
_cell_length_a 5.303
_cell_length_b 9.137
_cell_length_c 9.137
_cell_angle_alpha 122.75
_cell_angle_beta 90.00
_cell_angle_gamma 90.00
_symmetry_space_group_name_H-M 'P 1'
_symmetry_Int_Tables_number 1
loop_
_symmetry_equiv_pos_as_xyz
'x,y,z'
loop_
_atom_site_label
_atom_site_fract_x
_atom_site_fract_y
_atom_site_fract_z
_atom_site_occupancy
Rb1 0.000 0.000 0.000 1
Au1 0.500 0.311 0.689 1
Au2 0.500 0.689 0.311 1
Tl1 0.500 0.051 0.327 1
Tl2 0.000 0.760 0.240 1
Tl3 0.000 0.240 0.760 1
Tl4 0.500 0.949 0.673 1
Tl5 0.500 0.500 0.500 1
Tl6 0.500 0.327 0.051 1
Tl7 0.500 0.673 0.949 1
```

Results
The calculation puts the total energy at -2.344 eV/atom. Its space group is Cmmm.

# 6
A plane-wave DFT calculation with PBE-GGA was carried out for an optimized crystal structure of Tb3Pm3Tm8.

Structure (CIF):
```
data_Tb3Pm3Tm8
_cell_length_a 5.600
_cell_length_b 9.617
_cell_length_c 9.617
_cell_angle_alpha 102.27
_cell_angle_beta 73.08
_cell_angle_gamma 73.08
_symmetry_space_group_name_H-M 'P 1'
_symmetry_Int_Tables_number 1
loop_
_symmetry_equiv_pos_as_xyz
'x,y,z'
loop_
_atom_site_label
_atom_site_fract_x
_atom_site_fract_y
_atom_site_fract_z
_atom_site_occupancy
Pm1 0.000 0.185 0.815 1
Pm2 0.000 0.815 0.185 1
Pm3 0.500 0.000 0.000 1
Tb1 0.202 0.798 0.798 1
Tb2 0.798 0.202 0.202 1
Tb3 0.500 0.500 0.500 1
Tm1 0.661 0.119 0.559 1
Tm2 0.661 0.559 0.119 1
Tm3 0.842 0.761 0.555 1
Tm4 0.339 0.881 0.441 1
Tm5 0.158 0.445 0.239 1
Tm6 0.339 0.441 0.881 1
Tm7 0.158 0.239 0.445 1
Tm8 0.842 0.555 0.761 1
```

Results
The calculation puts the total energy at -4.453 eV/atom. Its space group is Immm.

no.,volume (Å³/atom)
1,18.06
2,25.89
3,27.37
4,34.52
5,37.23
6,32.03